1.
First-principles (PBE) data for an optimized crystal structure of La4Ti5S12O2, as listed in the Alexandria database.

Results
Density of states at the Fermi level = 0.221 states/eV/atom
Calculated volume = 915 Å³ per cell
Calculated total energy = -7.10 eV/atom

Unit cell a=10.395 b=8.451 c=10.416 alpha=90.00 beta=90.03 gamma=90.00
Space group Pm (No. 6)
Unique sites:
La 0.000 0.231 0.000 x2
La 0.575 0.242 0.588 x2
La 0.590 0.235 0.012 x2
La 0.999 0.236 0.588 x2
Ti 0.090 0.000 0.296 x1
Ti 0.289 0.000 0.505 x1
Ti 0.292 0.000 0.095 x1
Ti 0.294 0.000 0.794 x1
Ti 0.297 0.500 0.305 x1
Ti 0.320 0.500 0.972 x1
Ti 0.499 0.000 0.298 x1
Ti 0.790 0.000 0.301 x1
Ti 0.810 0.500 0.802 x1
Ti 0.979 0.500 0.270 x1
S 0.041 0.500 0.797 x1
S 0.053 0.000 0.795 x1
S 0.117 0.500 0.453 x1
S 0.142 0.500 0.121 x1
S 0.287 0.219 0.639 x2
S 0.288 0.184 0.294 x2
S 0.292 0.218 0.949 x2
S 0.450 0.500 0.466 x1
S 0.464 0.500 0.142 x1
S 0.522 0.500 0.824 x1
S 0.527 0.000 0.798 x1
S 0.633 0.219 0.299 x2
S 0.786 0.227 0.802 x2
S 0.789 0.500 0.564 x1
S 0.790 0.000 0.536 x1
S 0.794 0.000 0.063 x1
S 0.812 0.500 0.060 x1
S 0.943 0.219 0.295 x2
O 0.099 0.000 0.485 x1
O 0.101 0.000 0.106 x1
O 0.477 0.000 0.486 x1
O 0.481 0.000 0.108 x1

2.
First-principles (PBE) data for an optimized crystal structure of Tl2Cr2GeTe6, as listed in the Alexandria database.

Results
Density of states at the Fermi level = 0.449 states/eV/atom
Calculated volume = 676 Å³ per cell
Calculated total energy = -4.51 eV/atom

Unit cell a=7.048 b=12.347 c=8.100 alpha=90.00 beta=106.32 gamma=90.00
Space group C2/m (No. 12)
Unique sites:
Tl 0.000 0.159 0.000 x4
Cr 0.000 0.330 0.500 x4
Ge 0.000 0.000 0.500 x2
Te 0.207 0.500 0.687 x4
Te 0.234 0.175 0.690 x8

- Which of these has the highest density of states at the Fermi level?
  Tl2Cr2GeTe6